Pu2NiGe (PBE, optimized geometry); total energy = -40.09 eV for the cell shown; space-group type = P4/mmm (123)
1.0
-3.059 -2.032 -0.750
1.918 -1.938 -2.572
1.505 -3.713 3.921
Pu Ge Ni
2 1 1
direct
0.000 0.000 0.754 Pu
0.000 0.000 0.246 Pu
0.500 0.500 0.500 Ge
0.500 0.500 0.000 Ni